Record 1
Below is CuMoAs2 after structural relaxation, with properties calculated at the GGA-PBE level.

Cell lengths 6.342, 6.342, 6.342 Å; angles 90.00, 90.00, 90.00 degrees
Space group F-43m (No. 216)
Unique sites:
1 Cu 0.000 0.000 0.000
2 Mo 0.250 0.250 0.250
3 As 0.000 0.000 0.500
4 As 0.250 0.250 0.750

The electronic total energy comes out at -5.493 eV per atom. The calculation puts the formation energy at 0.56 eV/atom. The value obtained for the density of states at the Fermi level is 3.6 states/eV/f.u. The calculation puts the spin magnetization at 0.0963 μB/atom.

***

Record 2
Below is Ru3O12F after structural relaxation, with properties calculated at the GGA-PBE level.

Cell lengths 8.9398, 8.9398, 29.2194 Å; angles 90.00, 90.00, 120.00 degrees
Space group R3c (No. 161, hexagonal axes)
Unique sites:
1 Ru 0.0086 0.3742 0.0000
2 O 0.0030 0.4854 0.3107
3 O 0.0942 0.2379 0.2902
4 O 0.1622 0.3361 0.0243
5 O 0.1910 0.4131 0.3740
6 F 0.0000 0.0000 0.3709

The electronic total energy comes out at -6.102 eV per atom. The raw formation energy comes out at -0.527 eV/atom. The value obtained for the density of states at the Fermi level is 6.4 states/eV/f.u. The calculation puts the spin magnetization at 0.0627 μB/atom.

***

Record 3
Below is DyErS2 after structural relaxation, with properties calculated at the GGA-PBE level.

Cell lengths 3.8062, 3.8062, 20.1534 Å; angles 90.00, 90.00, 120.00 degrees
Space group R3m (No. 160, hexagonal axes)
Unique sites:
1 Dy 0.0000 0.0000 0.0000
2 Er 0.0000 0.0000 0.8217
3 S 0.0000 0.0000 0.2418
4 S 0.0000 0.0000 0.4137

The electronic total energy comes out at -6.305 eV per atom. The raw formation energy comes out at -1.950 eV/atom. The value obtained for the density of states at the Fermi level is 0.7 states/eV/f.u. The calculation puts the spin magnetization at 0.0000 μB/atom.

***

Record 4
Below is ZrBOsRu2 after structural relaxation, with properties calculated at the GGA-PBE level.

Cell lengths 4.732, 4.732, 4.012 Å; angles 90.00, 90.00, 90.00 degrees
Space group P4/mmm (No. 123)
Unique sites:
1 Zr 0.000 0.000 0.000
2 B 0.500 0.500 0.000
3 Os 0.500 0.500 0.500
4 Ru 0.000 0.500 0.500

The electronic total energy comes out at -8.000 eV per atom. The calculation puts the formation energy at 1.00 eV/atom. The value obtained for the density of states at the Fermi level is 5.7 states/eV/f.u. The calculation puts the spin magnetization at 0.0000 μB/atom.

***

Number 2 is which compound?
Ru3O12F

***

The lowest electronic total energy belongs to which entry?
ZrBOsRu2